Compound: Ni5Rh6
Source: Alexandria via LeMat-Bulk
Functional: PBE
Structure: relaxed

Space group: C2/m (12)
Mass density: 10.37 g cm⁻³
Total DFT energy (no corrections): -6.473 eV/atom
DFT formation energy: 165.0 meV per atom

Structure (POSCAR):
```
Ni5Rh6
1.0
7.4612 0.0000 -0.3880
3.7306 4.7652 -0.1940
1.9690 0.0000 4.0009
Rh Ni
6 5
Cartesian
3.1291 1.3509 3.3928
6.8597 3.4143 3.1988
7.2660 0.0000 2.2143
2.1642 0.0000 1.3986
6.3011 1.3509 0.2201
10.0317 3.4143 0.0261
8.4457 2.2163 1.6125
3.7306 1.2384 -0.1940
7.4612 3.5267 -0.3880
4.7151 2.5489 1.8065
4.7151 0.0000 1.8065
```

Compound: Be2CBr
Source: Alexandria via LeMat-Bulk
Functional: PBE
Structure: relaxed

Space group: Fm-3m (225)
Uncorrected formation energy: 1785 meV per atom
Mass density: 3.96 g cm⁻³
Total DFT energy (no corrections): -2.803 eV/atom

Structure (POSCAR):
```
Be2CBr
1.0
0.0000 2.8460 2.8460
2.8460 0.0000 2.8460
2.8460 2.8460 0.0000
Br Be C
1 2 1
Cartesian
2.8460 2.8460 2.8460
4.2691 4.2691 4.2691
1.4230 1.4230 1.4230
0.0000 0.0000 0.0000
```

Compound: PrHoNpO6
Source: Alexandria via LeMat-Bulk
Functional: PBE
Structure: relaxed

Space group: P-31c (163)
Uncorrected formation energy: -3191 meV per atom
Mass density: 7.44 g cm⁻³
Total DFT energy (no corrections): -8.974 eV/atom

Structure (POSCAR):
```
PrHoNpO6
1.0
5.7745 0.0000 0.0000
-2.8873 5.0009 0.0000
0.0000 0.0000 9.8710
Pr Ho O Np
2 2 12 2
Cartesian
0.0000 0.0000 4.9355
0.0000 0.0000 0.0000
2.8873 1.6670 7.4032
0.0000 3.3339 2.4677
2.0414 0.1191 1.3623
1.9697 3.1734 1.3623
0.9176 1.8275 8.5087
-1.7634 3.2925 8.5087
0.8458 4.8818 8.5087
4.6507 1.7084 1.3623
3.7331 0.1191 3.5732
-0.9176 1.8275 6.2978
1.7634 3.2925 6.2978
3.8048 3.1734 3.5732
-0.8458 4.8818 6.2978
1.1239 1.7084 3.5732
0.0000 3.3339 7.4032
2.8873 1.6670 2.4677
```

no.,spin magnetization (μB/f.u.)
1,5.20
2,0.00
3,1.00